Entry 1:
This record from Alexandria via LeMat-Bulk describes a relaxed structure of Mg2CoOs. The functional is GGA-PBE.

The space group is R-3m (No. 166, hexagonal axes) and the conventional cell measures 2.7975, 2.7975 and 26.5471 Å, with angles of 90.00, 90.00 and 120.00 degrees. The inequivalent atoms are Mg at (0.0000, 0.0000, 0.2473), Co at (0.0000, 0.0000, 0.5000) and Os at (0.0000, 0.0000, 0.0000).

For the magnetization, the calculation gives 1.65 μB per formula unit. Its uncorrected energy is -5.11 eV per atom. The energy above the lowest structure with this stoichiometry is 170 meV/atom. The formation energy is 0.27 eV/atom.

=====

Entry 2:
This record from Alexandria via LeMat-Bulk describes a relaxed structure of SmDyHoTl. The functional is GGA-PBE.

The space group is Pmmm (No. 47) and the conventional cell measures 4.8436, 4.8864 and 4.8963 Å, with angles of 90.00, 90.00 and 90.00 degrees. The inequivalent atoms are Sm at (0.0000, 0.0000, 0.0000), Dy at (0.5000, 0.5000, 0.0000), Ho at (0.5000, 0.0000, 0.5000) and Tl at (0.0000, 0.5000, 0.5000).

For the magnetization, the calculation gives 0.79 μB per formula unit. Its uncorrected energy is -4.25 eV per atom. The energy above the lowest structure with this stoichiometry is 0 meV/atom. The formation energy is -0.18 eV/atom.

=====

Entry 3:
This record from Alexandria via LeMat-Bulk describes a relaxed structure of La2TaPd2. The functional is GGA-PBE.

The space group is P4/mbm (No. 127) and the conventional cell measures 7.2178, 7.2178 and 4.5976 Å, with angles of 90.00, 90.00 and 90.00 degrees. The inequivalent atoms are La at (0.1744, 0.3256, 0.0000), Ta at (0.0000, 0.0000, 0.5000) and Pd at (0.1404, 0.6404, 0.5000).

For the magnetization, the calculation gives 0.00 μB per formula unit. Its uncorrected energy is -6.67 eV per atom. The formation energy is -0.26 eV/atom.

=====

Entry 4:
This record from Alexandria via LeMat-Bulk describes a relaxed structure of HfTiBr2. The functional is GGA-PBE.

The space group is R-3m (No. 166, hexagonal axes) and the conventional cell measures 3.2728, 3.2728 and 27.5348 Å, with angles of 90.00, 90.00 and 120.00 degrees. The inequivalent atoms are Hf at (0.0000, 0.0000, 0.0000), Ti at (0.0000, 0.0000, 0.5000) and Br at (0.0000, 0.0000, 0.1001).

For the magnetization, the calculation gives 0.00 μB per formula unit. The formation energy from raw total energies is -0.32 eV per atom. Its uncorrected energy is -5.62 eV per atom. The energy above the lowest structure with this stoichiometry is 0 meV/atom.

=====

Entry 5:
This record from Alexandria via LeMat-Bulk describes a relaxed structure of CdPtPb2. The functional is GGA-PBE.

The space group is Pmmm (No. 47) and the conventional cell measures 3.3429, 3.4784 and 8.8321 Å, with angles of 90.00, 90.00 and 90.00 degrees. The inequivalent atoms are Cd at (0.0000, 0.0000, 0.0000), Pt at (0.0000, 0.0000, 0.5000) and Pb at (0.5000, 0.5000, 0.3013).

For the magnetization, the calculation gives 0.00 μB per formula unit. Its uncorrected energy is -3.65 eV per atom. The formation energy is -0.06 eV/atom.

=====

Entry 6:
This record from Alexandria via LeMat-Bulk describes a relaxed structure of CsNbSn2Rh. The functional is GGA-PBE.

The space group is P4/mmm (No. 123) and the conventional cell measures 5.5673, 5.5673 and 4.8788 Å, with angles of 90.00, 90.00 and 90.00 degrees. The inequivalent atoms are Cs at (0.0000, 0.0000, 0.0000), Nb at (0.5000, 0.5000, 0.5000), Sn at (0.0000, 0.5000, 0.5000) and Rh at (0.5000, 0.5000, 0.0000).

For the magnetization, the calculation gives 0.00 μB per formula unit. Its uncorrected energy is -4.87 eV per atom. The formation energy is 0.38 eV/atom.

=====

Entry 7:
This record from Alexandria via LeMat-Bulk describes a relaxed structure of Ca2Zn. The functional is GGA-PBE.

The space group is Pa-3 (No. 205) and the conventional cell measures 7.4186, 7.4186 and 7.4186 Å, with angles of 90.00, 90.00 and 90.00 degrees. The inequivalent atoms are Ca at (0.1542, 0.1542, 0.1542) and Zn at (0.0000, 0.0000, 0.5000).

For the magnetization, the calculation gives 0.00 μB per formula unit. Its uncorrected energy is -1.81 eV per atom. The formation energy is -0.06 eV/atom.

=====

Entry 8:
This record from Alexandria via LeMat-Bulk describes a relaxed structure of Hf2TiNi2. The functional is GGA-PBE.

The space group is P4/mbm (No. 127) and the conventional cell measures 7.1765, 7.1765 and 3.2179 Å, with angles of 90.00, 90.00 and 90.00 degrees. The inequivalent atoms are Hf at (0.1703, 0.3297, 0.0000), Ti at (0.0000, 0.0000, 0.5000) and Ni at (0.1261, 0.6261, 0.5000).

For the magnetization, the calculation gives 0.00 μB per formula unit. Its uncorrected energy is -8.22 eV per atom. The energy above the lowest structure with this stoichiometry is 0 meV/atom. The formation energy is -0.34 eV/atom.

=====

- Look up the magnetization of the seventh one.
  0.00 μB per formula unit

=====

- The highest uncorrected energy belongs to which entry?
  Ca2Zn